(1)
ScCd4Hg2: relaxed, PBE.

```
7
Lattice="-0.927 4.950 -4.351 1.595 -4.030 -5.051 -3.607 -0.986 -0.351" Properties=species:S:1:pos:R:3 pbc="T T T"
Cd -0.954 -1.869 -5.019
Cd 0.797 -2.015 -2.525
Sc 0.000 0.000 0.000
Hg -1.638 -0.264 -2.517
Hg -1.302 0.198 -7.235
Cd -1.985 1.803 -4.733
Cd -0.464 2.475 -2.175
```

* DFT formation energy: -67.0 meV per atom
* D(E_F): 3.70 states/eV/cell
* space-group type: No. 65


(2)
Ta2CuW: relaxed, PBE.

```
4
Lattice="-2.143 -2.507 0.057 2.183 -1.902 -1.581 2.228 -1.787 5.227" Properties=species:S:1:pos:R:3 pbc="T T T"
Ta 0.600 -2.670 0.598
Cu 1.683 -3.538 3.140
Ta 2.191 -1.757 5.140
W 1.136 -0.911 2.665
```

* DFT formation energy: 153.9 meV per atom
* D(E_F): 3.54 states/eV/cell
* space-group type: No. 99


Number 1: size of the total moment 0.00 Bohr magnetons per cell. Number 2: size of the total moment 0.00 Bohr magnetons per cell.